A:
A geometry-optimized NdDy4Ho6 structure, computed with PBE.

Cell: 5.687 5.581 25.616 Å, 90.00 90.00 120.63°
Fractional coordinates of all 22 atoms:
Ho 0.188 0.376 0.602
Ho 0.145 0.289 0.181
Ho 0.145 0.289 0.319
Ho 0.500 0.000 0.000
Nd 0.815 0.631 0.250
Dy 0.473 0.946 0.121
Dy 0.842 0.684 0.542
Ho 0.855 0.711 0.681
Dy 0.158 0.316 0.042
Dy 0.527 0.054 0.621
Ho 0.500 0.000 0.500
Ho 0.188 0.376 0.898
Ho 0.812 0.624 0.398
Dy 0.842 0.684 0.958
Ho 0.519 0.038 0.750
Dy 0.473 0.946 0.379
Ho 0.855 0.711 0.819
Ho 0.481 0.962 0.250
Ho 0.812 0.624 0.102
Nd 0.185 0.369 0.750
Dy 0.158 0.316 0.458
Dy 0.527 0.054 0.879

Summary:
**Fermi-level density of states**: 39.43 states/eV/cell

B:
A geometry-optimized NdDy4Ho6 structure, computed with PBE.

Cell: 7.649 7.649 8.432 Å, 116.97 116.97 90.00°
Fractional coordinates of all 11 atoms:
Ho 0.438 0.934 0.372
Ho 0.562 0.562 0.628
Dy 0.910 0.910 0.152
Dy 0.242 0.242 0.152
Ho 0.000 0.500 0.000
Ho 0.500 0.000 0.000
Dy 0.090 0.758 0.848
Dy 0.758 0.090 0.848
Ho 0.934 0.438 0.372
Nd 0.500 0.500 0.000
Ho 0.066 0.066 0.628

Summary:
**Fermi-level density of states**: 15.88 states/eV/cell

Going by the computed energies, the most stable comes first: A, B.

A:
A geometry-optimized Nd4Dy7Ho structure, computed with PBE.

Cell: 6.856 8.811 9.109 Å, 84.27 94.68 47.53°
Fractional coordinates of all 12 atoms:
Dy 0.264 0.489 0.050
Nd 0.777 0.839 0.693
Dy 0.736 0.511 0.950
Nd 0.551 0.639 0.283
Dy 0.500 0.000 0.000
Dy 0.983 0.319 0.641
Nd 0.223 0.161 0.307
Dy 0.706 0.187 0.383
Dy 0.294 0.813 0.617
Dy 0.017 0.681 0.359
Nd 0.449 0.361 0.717
Ho 0.000 0.000 0.000

Summary:
**Fermi-level density of states**: 18.89 states/eV/cell

B:
A geometry-optimized Nd4Dy7Ho structure, computed with PBE.

Cell: 5.935 11.706 6.743 Å, 83.66 63.89 75.31°
Fractional coordinates of all 12 atoms:
Nd 0.641 0.223 0.496
Dy 0.930 0.310 0.830
Dy 0.632 0.506 0.231
Nd 0.779 0.665 0.776
Dy 0.368 0.494 0.769
Dy 0.500 0.000 0.000
Dy 0.788 0.924 0.500
Ho 0.000 0.000 0.000
Dy 0.070 0.690 0.170
Dy 0.212 0.076 0.500
Nd 0.221 0.335 0.224
Nd 0.359 0.777 0.504

Summary:
**Fermi-level density of states**: 20.11 states/eV/cell

Going by the computed energies, the most stable comes first: A, B.

A:
A geometry-optimized Nd5DyHo2 structure, computed with PBE.

Cell: 5.129 7.241 14.488 Å, 90.00 90.00 90.00°
Fractional coordinates of all 16 atoms:
Nd 0.000 0.502 0.751
Nd 0.000 0.998 0.251
Ho 0.500 0.751 0.876
Ho 0.500 0.249 0.124
Dy 0.000 0.500 0.000
Nd 0.000 0.002 0.749
Nd 0.000 0.500 0.500
Nd 0.500 0.252 0.876
Dy 0.000 0.000 0.500
Nd 0.500 0.752 0.624
Nd 0.500 0.748 0.124
Ho 0.500 0.749 0.376
Nd 0.000 0.498 0.249
Ho 0.500 0.251 0.624
Nd 0.000 0.000 0.000
Nd 0.500 0.248 0.376

Summary:
**Fermi-level density of states**: 23.72 states/eV/cell

B:
A geometry-optimized Nd5DyHo2 structure, computed with PBE.

Cell: 14.734 14.734 8.708 Å, 63.49 63.49 123.18°
Fractional coordinates of all 16 atoms:
Nd 0.524 0.829 0.331
Nd 0.996 0.126 0.379
Nd 0.171 0.476 0.169
Nd 0.874 0.004 0.121
Ho 0.500 0.500 0.500
Ho 0.500 0.500 0.000
Ho 0.000 0.500 0.500
Ho 0.500 0.000 0.000
Dy 0.204 0.796 0.750
Nd 0.375 0.625 0.250
Nd 0.829 0.524 0.831
Nd 0.476 0.171 0.669
Nd 0.004 0.874 0.621
Nd 0.126 0.996 0.879
Dy 0.796 0.204 0.250
Nd 0.625 0.375 0.750

Summary:
**Fermi-level density of states**: 22.07 states/eV/cell

Going by the computed energies, the most stable comes first: A, B.

A:
A geometry-optimized Nd6Dy8Ho structure, computed with PBE.

Cell: 6.544 9.409 9.409 Å, 120.00 90.00 90.00°
Fractional coordinates of all 15 atoms:
Dy 0.879 0.667 0.333
Nd 0.834 0.966 0.713
Ho 0.500 0.000 0.000
Nd 0.166 0.034 0.287
Dy 0.342 0.906 0.562
Dy 0.342 0.438 0.344
Dy 0.658 0.094 0.438
Dy 0.342 0.656 0.094
Nd 0.834 0.747 0.034
Dy 0.121 0.333 0.667
Nd 0.834 0.287 0.253
Dy 0.658 0.562 0.656
Nd 0.166 0.713 0.747
Nd 0.166 0.253 0.966
Dy 0.658 0.344 0.906

Summary:
**Fermi-level density of states**: 21.73 states/eV/cell

B:
A geometry-optimized Nd6Dy8Ho structure, computed with PBE.

Cell: 9.129 9.129 8.729 Å, 58.47 58.47 60.00°
Fractional coordinates of all 15 atoms:
Dy 0.888 0.251 0.579
Nd 0.103 0.229 0.130
Ho 0.000 0.000 0.000
Dy 0.282 0.888 0.579
Dy 0.423 0.423 0.730
Dy 0.577 0.577 0.270
Dy 0.251 0.282 0.579
Nd 0.538 0.103 0.130
Dy 0.749 0.718 0.421
Nd 0.462 0.897 0.870
Nd 0.229 0.538 0.130
Dy 0.112 0.749 0.421
Nd 0.771 0.462 0.870
Dy 0.718 0.112 0.421
Nd 0.897 0.771 0.870

Summary:
**Fermi-level density of states**: 21.54 states/eV/cell

Going by the computed energies, the most stable comes first: B, A.